[1]
A relaxed structure of Tb2Nd2Sc7, computed with GGA-PBE.

Summary:
- Total DFT energy (no corrections): -61.21 eV per cell
- V: 309.0 Å³/f.u.
- Energy of formation: 1.911 eV/f.u.
- Total magnetic moment: 0.000 μB/f.u.

Unit cell a=5.791 b=7.629 c=7.629 alpha=91.04 beta=106.25 gamma=106.25
Positions (direct):
Nd1 0.590 0.241 0.241
Nd2 0.410 0.759 0.759
Sc1 0.191 0.402 0.402
Sc2 0.153 0.399 0.936
Sc3 0.809 0.598 0.598
Sc4 0.847 0.064 0.601
Sc5 0.000 0.000 0.000
Sc6 0.847 0.601 0.064
Sc7 0.153 0.936 0.399
Tb1 0.500 0.223 0.777
Tb2 0.500 0.777 0.223

[2]
A relaxed structure of TbNd8Sc2, computed with GGA-PBE.

Summary:
- Total DFT energy (no corrections): -54.09 eV per cell
- V: 368.0 Å³/f.u.
- Energy of formation: 1.348 eV/f.u.
- Total magnetic moment: 0.000 μB/f.u.

Unit cell a=5.541 b=8.442 c=9.347 alpha=116.85 beta=107.24 gamma=90.00
Positions (direct):
Nd1 0.000 0.301 0.000
Nd2 0.356 0.154 0.713
Nd3 0.644 0.441 0.287
Nd4 0.000 0.699 0.000
Nd5 0.644 0.846 0.287
Nd6 0.839 0.839 0.679
Nd7 0.161 0.161 0.321
Nd8 0.356 0.559 0.713
Sc1 0.201 0.701 0.402
Sc2 0.799 0.299 0.598
Tb1 0.500 0.000 0.000

[3]
A relaxed structure of Tb6Nd12Sc, computed with GGA-PBE.

Summary:
- Total DFT energy (no corrections): -88.78 eV per cell
- V: 651.5 Å³/f.u.
- Energy of formation: 2.547 eV/f.u.
- Total magnetic moment: 0.000 μB/f.u.

Unit cell a=8.670 b=8.670 c=8.670 alpha=89.18 beta=89.18 gamma=89.18
Positions (direct):
Tb1 0.098 0.708 0.259
Tb2 0.741 0.902 0.292
Tb3 0.259 0.098 0.708
Tb4 0.708 0.259 0.098
Tb5 0.292 0.741 0.902
Tb6 0.902 0.292 0.741
Nd1 0.188 0.360 0.019
Nd2 0.783 0.535 0.436
Nd3 0.019 0.188 0.360
Nd4 0.640 0.981 0.812
Nd5 0.564 0.217 0.465
Nd6 0.436 0.783 0.535
Nd7 0.360 0.019 0.188
Nd8 0.812 0.640 0.981
Nd9 0.465 0.564 0.217
Nd10 0.217 0.465 0.564
Nd11 0.535 0.436 0.783
Nd12 0.981 0.812 0.640
Sc1 0.000 0.000 0.000

[4]
A relaxed structure of TbNd2Sc3, computed with GGA-PBE.

Summary:
- Total DFT energy (no corrections): -32.84 eV per cell
- V: 173.8 Å³/f.u.
- Energy of formation: 0.316 eV/f.u.
- Total magnetic moment: 0.000 μB/f.u.

Unit cell a=3.564 b=3.564 c=13.681 alpha=90.00 beta=90.00 gamma=90.00
Positions (direct):
Nd1 0.500 0.500 0.832
Nd2 0.500 0.500 0.168
Sc1 0.000 0.000 0.336
Sc2 0.000 0.000 0.664
Sc3 0.000 0.000 0.000
Tb1 0.500 0.500 0.500

[5]
A relaxed structure of Tb12NdSc7, computed with GGA-PBE.

Summary:
- Total DFT energy (no corrections): -101.18 eV per cell
- V: 601.9 Å³/f.u.
- Energy of formation: 3.473 eV/f.u.
- Total magnetic moment: 0.004 μB/f.u.

Unit cell a=9.059 b=9.059 c=9.059 alpha=107.97 beta=107.97 gamma=107.97
Positions (direct):
Sc1 0.884 0.605 0.759
Sc2 0.605 0.759 0.884
Sc3 0.759 0.884 0.605
Sc4 0.395 0.241 0.116
Sc5 0.500 0.500 0.500
Sc6 0.116 0.395 0.241
Sc7 0.241 0.116 0.395
Tb1 0.143 0.939 0.666
Tb2 0.334 0.857 0.061
Tb3 0.632 0.190 0.522
Tb4 0.368 0.810 0.478
Tb5 0.810 0.478 0.368
Tb6 0.061 0.334 0.857
Tb7 0.939 0.666 0.143
Tb8 0.857 0.061 0.334
Tb9 0.190 0.522 0.632
Tb10 0.666 0.143 0.939
Tb11 0.522 0.632 0.190
Tb12 0.478 0.368 0.810
Nd1 0.000 0.000 0.000

[6]
A relaxed structure of Tb7Nd12Sc, computed with GGA-PBE.

Summary:
- Total DFT energy (no corrections): -91.98 eV per cell
- V: 692.2 Å³/f.u.
- Energy of formation: 3.973 eV/f.u.
- Total magnetic moment: 0.000 μB/f.u.

Unit cell a=6.229 b=11.517 c=11.517 alpha=116.82 beta=100.39 gamma=100.39
Positions (direct):
Nd1 0.501 0.588 0.413
Nd2 0.087 0.175 0.588
Nd3 0.579 0.999 0.647
Nd4 0.499 0.412 0.587
Nd5 0.913 0.825 0.412
Nd6 0.912 0.413 0.825
Nd7 0.421 0.001 0.353
Nd8 0.421 0.352 0.999
Nd9 0.579 0.648 0.001
Nd10 0.068 0.647 0.648
Nd11 0.088 0.587 0.175
Nd12 0.932 0.353 0.352
Tb1 0.881 0.001 0.242
Tb2 0.639 0.758 0.758
Tb3 0.119 0.758 0.001
Tb4 0.500 0.000 0.000
Tb5 0.881 0.242 0.999
Tb6 0.119 0.999 0.758
Tb7 0.361 0.242 0.242
Sc1 0.000 0.000 0.000